Material: RbNpBi2O6
Method: DFT, GGA-PBE
State: relaxed

Structure (POSCAR):
```
RbNpBi2O6
1.0
5.234 -5.522 0.000
5.234 5.522 0.000
-0.651 0.000 6.687
Rb Np Bi O
2 2 4 12
Direct
0.080 0.920 0.750 Rb
0.920 0.080 0.250 Rb
0.288 0.712 0.250 Np
0.712 0.288 0.750 Np
0.221 0.439 0.673 Bi
0.439 0.221 0.173 Bi
0.561 0.779 0.827 Bi
0.779 0.561 0.327 Bi
0.012 0.728 0.338 O
0.219 0.634 0.967 O
0.272 0.988 0.162 O
0.284 0.415 0.324 O
0.366 0.781 0.533 O
0.415 0.284 0.824 O
0.585 0.716 0.176 O
0.634 0.219 0.467 O
0.716 0.585 0.676 O
0.728 0.012 0.838 O
0.781 0.366 0.033 O
0.988 0.272 0.662 O
```

Properties
Formation energy from raw total energies, eV/atom: -1.8469